<i>
{
  "formula": "TaFeTcPb",
  "functional": "GGA-PBE",
  "state": "relaxed",
  "lattice": [[0.000, 3.186, 3.186], [3.186, 0.000, 3.186], [3.186, 3.186, 0.000]],
  "species": ["Fe", "Pb", "Ta", "Tc"],
  "fractional_positions": [[0.750, 0.750, 0.750], [0.000, 0.000, 0.000], [0.500, 0.500, 0.500], [0.250, 0.250, 0.250]],
  "magnetic_moment_mub_per_cell": 0.00,
  "density_g_cm3": 13.91,
  "spacegroup": "F-43m"
}

=====

<ii>
{
  "formula": "TaFeTcPb",
  "functional": "GGA-PBE",
  "state": "relaxed",
  "lattice": [[0.000, 3.255, 3.255], [3.255, 0.000, 3.255], [3.255, 3.255, 0.000]],
  "species": ["Fe", "Pb", "Ta", "Tc"],
  "fractional_positions": [[0.750, 0.750, 0.750], [0.000, 0.000, 0.000], [0.250, 0.250, 0.250], [0.500, 0.500, 0.500]],
  "magnetic_moment_mub_per_cell": 3.70,
  "density_g_cm3": 13.05,
  "spacegroup": "F-43m"
}

=====

The energy of each structure relative to the most stable one, in meV per atom, is as follows: <i> 0; <ii> 358.

=====

<i>
{
  "formula": "ZnFeTe3Pb",
  "functional": "GGA-PBE",
  "state": "relaxed",
  "lattice": [[-1.110, 5.019, 5.070], [-3.696, 5.817, 2.155], [-7.935, -6.945, 5.138]],
  "species": ["Fe", "Fe", "Pb", "Pb", "Te", "Te", "Te", "Te", "Te", "Te", "Zn", "Zn"],
  "fractional_positions": [[0.425, 0.425, 0.250], [0.575, 0.575, 0.750], [0.769, 0.769, 0.250], [0.231, 0.231, 0.750], [0.363, 0.363, 0.043], [0.047, 0.047, 0.250], [0.363, 0.363, 0.457], [0.637, 0.637, 0.543], [0.953, 0.953, 0.750], [0.637, 0.637, 0.957], [0.000, 0.000, 0.000], [0.000, 0.000, 0.500]],
  "magnetic_moment_mub_per_cell": 5.88,
  "density_g_cm3": 7.29,
  "spacegroup": "Cmcm"
}

=====

<ii>
{
  "formula": "ZnFeTe3Pb",
  "functional": "GGA-PBE",
  "state": "relaxed",
  "lattice": [[4.145, 0.000, 0.000], [2.073, 7.307, 0.000], [0.000, 0.000, 10.631]],
  "species": ["Fe", "Fe", "Pb", "Pb", "Te", "Te", "Te", "Te", "Te", "Te", "Zn", "Zn"],
  "fractional_positions": [[0.000, 0.000, 0.000], [0.000, 0.000, 0.500], [0.234, 0.532, 0.250], [0.766, 0.468, 0.750], [0.633, 0.733, 0.046], [0.918, 0.163, 0.250], [0.633, 0.733, 0.454], [0.367, 0.267, 0.546], [0.082, 0.837, 0.750], [0.367, 0.267, 0.954], [0.531, 0.937, 0.250], [0.469, 0.063, 0.750]],
  "magnetic_moment_mub_per_cell": 7.41,
  "density_g_cm3": 7.33,
  "spacegroup": "Cmcm"
}

=====

The energy of each structure relative to the most stable one, in meV per atom, is as follows: <i> 8; <ii> 0.

=====

<i>
{
  "formula": "YFePbW",
  "functional": "GGA-PBE",
  "state": "relaxed",
  "lattice": [[0.000, 3.376, 3.376], [3.376, 0.000, 3.376], [3.376, 3.376, 0.000]],
  "species": ["Fe", "Pb", "W", "Y"],
  "fractional_positions": [[0.750, 0.750, 0.750], [0.000, 0.000, 0.000], [0.500, 0.500, 0.500], [0.250, 0.250, 0.250]],
  "magnetic_moment_mub_per_cell": 3.00,
  "density_g_cm3": 11.56,
  "spacegroup": "F-43m"
}

=====

<ii>
{
  "formula": "YFePbW",
  "functional": "GGA-PBE",
  "state": "relaxed",
  "lattice": [[0.000, 3.397, 3.397], [3.397, 0.000, 3.397], [3.397, 3.397, 0.000]],
  "species": ["Fe", "Pb", "W", "Y"],
  "fractional_positions": [[0.750, 0.750, 0.750], [0.000, 0.000, 0.000], [0.250, 0.250, 0.250], [0.500, 0.500, 0.500]],
  "magnetic_moment_mub_per_cell": 3.24,
  "density_g_cm3": 11.35,
  "spacegroup": "F-43m"
}

=====

The energy of each structure relative to the most stable one, in meV per atom, is as follows: <i> 25; <ii> 0.

=====

<i>
{
  "formula": "ZnFePbW",
  "functional": "GGA-PBE",
  "state": "relaxed",
  "lattice": [[1.449, -0.122, 4.309], [-2.765, -1.492, 3.287], [0.811, -3.996, 2.014]],
  "species": ["Fe", "Pb", "W", "Zn"],
  "fractional_positions": [[0.750, 0.750, 0.750], [0.000, 0.000, 0.000], [0.250, 0.250, 0.250], [0.500, 0.500, 0.500]],
  "magnetic_moment_mub_per_cell": 2.69,
  "density_g_cm3": 12.79,
  "spacegroup": "F-43m"
}

=====

<ii>
{
  "formula": "ZnFePbW",
  "functional": "GGA-PBE",
  "state": "relaxed",
  "lattice": [[2.854, -3.115, 1.601], [-0.714, -1.843, 4.063], [-1.313, -4.311, 0.327]],
  "species": ["Fe", "Pb", "W", "Zn"],
  "fractional_positions": [[0.750, 0.750, 0.750], [0.000, 0.000, 0.000], [0.500, 0.500, 0.500], [0.250, 0.250, 0.250]],
  "magnetic_moment_mub_per_cell": 1.73,
  "density_g_cm3": 13.04,
  "spacegroup": "F-43m"
}

=====

The energy of each structure relative to the most stable one, in meV per atom, is as follows: <i> 29; <ii> 0.

=====

<i>
{
  "formula": "ZrZnFePb",
  "functional": "GGA-PBE",
  "state": "relaxed",
  "lattice": [[0.000, 3.337, 3.337], [3.337, 0.000, 3.337], [3.337, 3.337, 0.000]],
  "species": ["Fe", "Pb", "Zn", "Zr"],
  "fractional_positions": [[0.750, 0.750, 0.750], [0.000, 0.000, 0.000], [0.500, 0.500, 0.500], [0.250, 0.250, 0.250]],
  "magnetic_moment_mub_per_cell": 1.95,
  "density_g_cm3": 9.38,
  "spacegroup": "F-43m"
}

=====

<ii>
{
  "formula": "ZrZnFePb",
  "functional": "GGA-PBE",
  "state": "relaxed",
  "lattice": [[0.955, 2.622, 3.763], [-2.815, 3.565, 1.147], [-2.714, -0.290, 3.807]],
  "species": ["Fe", "Pb", "Zn", "Zr"],
  "fractional_positions": [[0.750, 0.750, 0.750], [0.000, 0.000, 0.000], [0.250, 0.250, 0.250], [0.500, 0.500, 0.500]],
  "magnetic_moment_mub_per_cell": 1.36,
  "density_g_cm3": 9.58,
  "spacegroup": "F-43m"
}

=====

The energy of each structure relative to the most stable one, in meV per atom, is as follows: <i> 74; <ii> 0.

=====

<i>
{
  "formula": "RbFePd",
  "functional": "GGA-PBE",
  "state": "relaxed",
  "lattice": [[0.000, 3.456, 3.456], [3.456, 0.000, 3.456], [3.456, 3.456, 0.000]],
  "species": ["Fe", "Pd", "Rb"],
  "fractional_positions": [[0.250, 0.250, 0.250], [0.000, 0.000, 0.000], [0.750, 0.750, 0.750]],
  "magnetic_moment_mub_per_cell": 3.50,
  "density_g_cm3": 4.98,
  "spacegroup": "F-43m"
}

=====

<ii>
{
  "formula": "RbFePd",
  "functional": "GGA-PBE",
  "state": "relaxed",
  "lattice": [[1.353, -4.531, -1.782], [-1.659, -4.203, 2.263], [-3.412, -2.931, -2.303]],
  "species": ["Fe", "Pd", "Rb"],
  "fractional_positions": [[0.250, 0.250, 0.250], [0.750, 0.750, 0.750], [0.000, 0.000, 0.000]],
  "magnetic_moment_mub_per_cell": 3.24,
  "density_g_cm3": 4.51,
  "spacegroup": "F-43m"
}

=====

The energy of each structure relative to the most stable one, in meV per atom, is as follows: <i> 0; <ii> 522.

=====

<i>
{
  "formula": "Fe2Re3Pd3",
  "functional": "GGA-PBE",
  "state": "relaxed",
  "lattice": [[-5.043, 1.315, 1.520], [-0.990, -4.225, 0.372], [3.850, -0.567, 3.807]],
  "species": ["Fe", "Fe", "Pd", "Pd", "Pd", "Re", "Re", "Re"],
  "fractional_positions": [[0.670, 0.000, 0.341], [0.324, 0.500, 0.656], [0.835, 0.500, 0.166], [0.343, 0.500, 0.178], [0.662, 0.000, 0.833], [0.162, 0.000, 0.352], [0.848, 0.500, 0.661], [0.155, 0.000, 0.813]],
  "magnetic_moment_mub_per_cell": 3.94,
  "density_g_cm3": 14.61,
  "spacegroup": "Pm"
}

=====

<ii>
{
  "formula": "Fe2Re3Pd3",
  "functional": "GGA-PBE",
  "state": "relaxed",
  "lattice": [[5.422, 0.000, 0.000], [-2.711, 4.696, 0.000], [0.000, 0.000, 4.416]],
  "species": ["Fe", "Fe", "Pd", "Pd", "Pd", "Re", "Re", "Re"],
  "fractional_positions": [[0.000, 0.000, 0.000], [0.667, 0.333, 0.500], [0.501, 0.002, 0.000], [0.501, 0.499, 0.000], [0.998, 0.499, 0.000], [0.162, 0.323, 0.500], [0.162, 0.838, 0.500], [0.677, 0.838, 0.500]],
  "magnetic_moment_mub_per_cell": 3.94,
  "density_g_cm3": 14.62,
  "spacegroup": "P-6m2"
}

=====

The energy of each structure relative to the most stable one, in meV per atom, is as follows: <i> 0; <ii> 15.

=====

<i>
{
  "formula": "FeRePd2",
  "functional": "GGA-PBE",
  "state": "relaxed",
  "lattice": [[4.335, 0.000, 0.000], [0.000, 4.786, 2.757], [0.000, -4.786, 2.757]],
  "species": ["Fe", "Fe", "Pd", "Pd", "Pd", "Pd", "Re", "Re"],
  "fractional_positions": [[0.750, 0.653, 0.336], [0.250, 0.336, 0.653], [0.250, 0.820, 0.173], [0.250, 0.836, 0.669], [0.750, 0.173, 0.820], [0.750, 0.669, 0.836], [0.250, 0.332, 0.181], [0.750, 0.181, 0.332]],
  "magnetic_moment_mub_per_cell": 5.25,
  "density_g_cm3": 13.21,
  "spacegroup": "Ama2"
}

=====

<ii>
{
  "formula": "FeRePd2",
  "functional": "GGA-PBE",
  "state": "relaxed",
  "lattice": [[2.883, -3.191, -0.461], [1.614, -1.978, 3.492], [-1.129, -4.080, 0.890]],
  "species": ["Fe", "Pd", "Pd", "Re"],
  "fractional_positions": [[0.250, 0.250, 0.250], [0.000, 0.000, 0.000], [0.750, 0.750, 0.750], [0.500, 0.500, 0.500]],
  "magnetic_moment_mub_per_cell": 2.43,
  "density_g_cm3": 13.20,
  "spacegroup": "F-43m"
}

=====

The energy of each structure relative to the most stable one, in meV per atom, is as follows: <i> 0; <ii> 210.